Version i
This record from Alexandria describes an optimized crystal structure of PmLu2Ag. The functional is PBE.

abc: 7.5397 7.5397 7.5397
angles: 90.00 90.00 90.00
With the nearest neighbours (Å) after each atom.
Space group Fm-3m (No. 225)
Asymmetric unit:
1 Pm 0.0000 0.0000 0.0000 x4  8 Lu 3.26
2 Lu 0.2500 0.2500 0.2500 x8  4 Pm 3.26, 4 Ag 3.26
3 Ag 0.0000 0.0000 0.5000 x4  8 Lu 3.26

Output
Volume in Å³/cell: 429

=====

Version ii
This record from Alexandria describes an optimized crystal structure of PmLu2Ag. The functional is PBE.

abc: 4.7382 4.7382 4.8117
angles: 90.00 90.00 90.00
With the nearest neighbours (Å) after each atom.
Space group P4/mmm (No. 123)
Asymmetric unit:
1 Pm 0.0000 0.0000 0.0000 x1  4 Ag 3.35, 8 Lu 3.38
2 Lu 0.0000 0.5000 0.5000 x2  4 Lu 3.35, 4 Ag 3.38, 4 Pm 3.38
3 Ag 0.5000 0.5000 0.0000 x1  4 Pm 3.35, 8 Lu 3.38

Output
Volume in Å³/cell: 108

=====

version ii ends up most stable, edging out the next structure by 0.090 eV/atom.

=====

Version i
This record from Alexandria describes an optimized crystal structure of PmLu2Ag. The functional is PBE.

abc: 3.5306 3.5306 8.7915
angles: 90.00 90.00 90.00
With the nearest neighbours (Å) after each atom.
Space group P4/mmm (No. 123)
Asymmetric unit:
1 Pm 0.0000 0.0000 0.0000 x1  4 Pm 3.53, 8 Lu 3.58
2 Lu 0.5000 0.5000 0.2916 x2  4 Ag 3.10
3 Ag 0.0000 0.0000 0.5000 x1  8 Lu 3.10

Output
Volume in Å³/cell: 110

=====

Version ii
This record from Alexandria describes an optimized crystal structure of PmLu2Ag. The functional is PBE.

abc: 3.5435 3.5435 30.9395
angles: 90.00 90.00 120.00
With the nearest neighbours (Å) after each atom.
Space group R-3m (No. 166, hexagonal axes)
Asymmetric unit:
1 Pm 0.0000 0.0000 0.0000 x3  6 Pm 3.54, 6 Lu 3.54
2 Lu 0.0000 0.0000 0.2398 x6  3 Ag 3.05
3 Ag 0.0000 0.0000 0.5000 x3  6 Lu 3.05

Output
Volume in Å³/cell: 336

=====

version i ends up most stable, edging out the next structure by 0.125 eV/atom.

=====

Version i
This record from Alexandria describes an optimized crystal structure of Pm2LuAg. The functional is PBE.

abc: 7.6805 7.6805 7.6805
angles: 90.00 90.00 90.00
With the nearest neighbours (Å) after each atom.
Space group Fm-3m (No. 225)
Asymmetric unit:
1 Pm 0.2500 0.2500 0.2500 x8  4 Lu 3.33, 4 Ag 3.33
2 Lu 0.0000 0.0000 0.0000 x4  8 Pm 3.33
3 Ag 0.0000 0.0000 0.5000 x4  8 Pm 3.33

Output
Volume in Å³/cell: 453

=====

Version ii
This record from Alexandria describes an optimized crystal structure of Pm2LuAg. The functional is PBE.

abc: 3.6666 3.6666 8.6847
angles: 90.00 90.00 90.00
With the nearest neighbours (Å) after each atom.
Space group P4/mmm (No. 123)
Asymmetric unit:
1 Pm 0.0000 0.0000 0.2221 x2  4 Ag 3.23, 4 Lu 3.54
2 Lu 0.5000 0.5000 0.5000 x1  8 Pm 3.54, 4 Lu 3.67
3 Ag 0.5000 0.5000 0.0000 x1  8 Pm 3.23

Output
Volume in Å³/cell: 117

=====

Version iii
This record from Alexandria describes an optimized crystal structure of Pm2LuAg. The functional is PBE.

abc: 3.4565 3.4565 35.3444
angles: 90.00 90.00 120.00
With the nearest neighbours (Å) after each atom.
Space group R-3m (No. 166, hexagonal axes)
Asymmetric unit:
1 Pm 0.0000 0.0000 0.0860 x6  1 Ag 3.04
2 Lu 0.0000 0.0000 0.5000 x3  6 Lu 3.46, 6 Pm 3.48
3 Ag 0.0000 0.0000 0.0000 x3  2 Pm 3.04

Output
Volume in Å³/cell: 366

=====

version ii ends up most stable, edging out the next structure by 0.135 eV/atom.